Record 1
A relaxed Pr2Dy2Hg3 crystal. Source: Alexandria via LeMat-Bulk, functional GGA-PBE.

Calculated volume, Å³ per cell: 206.8
DFT formation energy, kcal/mol of atoms: -7.44
Space group: No. 166

a b c (Å): 9.1776 9.1776 9.1776
angles (deg): 33.25 33.25 33.25
Positions (direct):
Pr1 0.1276 0.1276 0.1276
Pr2 0.8724 0.8724 0.8724
Dy1 0.3771 0.3771 0.3771
Dy2 0.6229 0.6229 0.6229
Hg1 0.0000 0.0000 0.0000
Hg2 0.2541 0.2541 0.2541
Hg3 0.7459 0.7459 0.7459

Record 2
A relaxed Al2IrW2 crystal. Source: Alexandria via LeMat-Bulk, functional GGA-PBE.

Energy relative to the lowest polymorph listed for this composition, meV per atom: 539
Calculated volume, Å³ per cell: 84.8
DFT formation energy, kcal/mol of atoms: 13.00
Space group: No. 139

a b c (Å): 7.0097 7.0097 7.0097
angles (deg): 150.20 150.20 42.64
Positions (direct):
Al1 0.0932 0.0932 0.0000
Al2 0.9068 0.9068 0.0000
Ir1 0.5000 0.5000 0.0000
W1 0.2500 0.7500 0.5000
W2 0.7500 0.2500 0.5000

Record 3
A relaxed Dy6Ho4Tl crystal. Source: Alexandria via LeMat-Bulk, functional GGA-PBE.

Calculated volume, Å³ per cell: 352.1
DFT formation energy, kcal/mol of atoms: 2.82
Space group: No. 187

a b c (Å): 10.8603 10.8603 3.4470
angles (deg): 90.00 90.00 120.00
Positions (direct):
Dy1 0.1848 0.3697 0.0000
Dy2 0.1848 0.8152 0.0000
Dy3 0.5195 0.0391 0.5000
Dy4 0.5195 0.4805 0.5000
Dy5 0.6303 0.8152 0.0000
Dy6 0.9609 0.4805 0.5000
Ho1 0.3041 0.1521 0.0000
Ho2 0.3333 0.6667 0.5000
Ho3 0.8479 0.1521 0.0000
Ho4 0.8479 0.6959 0.0000
Tl1 0.0000 0.0000 0.5000